A plane-wave DFT calculation with PBE-GGA was carried out for an optimized crystal structure of Sr2GaPd2.

Geometry as POSCAR:
```
Sr2GaPd2
1.0
-2.991 2.991 3.843
2.991 -2.991 3.843
2.991 2.991 -3.843
Sr Ga Pd
2 1 2
direct
0.250 0.750 0.500
0.750 0.250 0.500
0.000 0.000 0.000
0.323 0.323 0.000
0.677 0.677 0.000
```

Output
The space group is No. 139. The formation energy is -0.47 eV/atom. The calculation puts the final energy at -3.824 eV/atom.

=====

A plane-wave DFT calculation with PBE-GGA was carried out for an optimized crystal structure of MnReMoBr2.

Geometry as POSCAR:
```
MnReMoBr2
1.0
4.508 0.000 0.000
0.000 4.508 0.000
0.000 0.000 4.664
Mn Re Mo Br
1 1 1 2
direct
0.000 0.000 0.000
0.500 0.500 0.500
0.000 0.000 0.500
0.000 0.500 0.000
0.500 0.000 0.000
```

Output
The space group is No. 123. The formation energy (no corrections) comes out at 1.96 eV/atom. The calculation puts the final energy at -5.203 eV/atom.

=====

A plane-wave DFT calculation with PBE-GGA was carried out for an optimized crystal structure of SrAcCuSn.

Geometry as POSCAR:
```
SrAcCuSn
1.0
0.000 3.965 3.965
3.965 0.000 3.965
3.965 3.965 0.000
Sr Ac Cu Sn
1 1 1 1
direct
0.000 0.000 0.000
0.500 0.500 0.500
0.750 0.750 0.750
0.250 0.250 0.250
```

Output
The space group is No. 216. The formation energy is -0.38 eV/atom. The calculation puts the final energy at -3.848 eV/atom.

=====

A plane-wave DFT calculation with PBE-GGA was carried out for an optimized crystal structure of KCoAu.

Geometry as POSCAR:
```
KCoAu
1.0
-1.407 2.127 5.825
1.407 -2.127 5.825
1.407 2.127 -5.825
K Co Au
1 1 1
direct
0.000 0.000 0.000
0.267 0.267 0.000
0.723 0.723 0.000
```

Output
The space group is No. 44. The formation energy is 0.36 eV/atom. The calculation puts the final energy at -3.467 eV/atom. For the energy relative to the lowest polymorph listed for this composition, the calculation gives 0 meV per atom.

=====

A plane-wave DFT calculation with PBE-GGA was carried out for an optimized crystal structure of BeGa.

Geometry as POSCAR:
```
BeGa
1.0
4.624 0.000 0.000
0.000 4.624 0.000
0.000 0.000 5.457
Be Ga
4 4
direct
0.174 0.174 0.000
0.326 0.674 0.500
0.674 0.326 0.500
0.826 0.826 0.000
0.191 0.191 0.500
0.309 0.691 0.000
0.691 0.309 0.000
0.809 0.809 0.500
```

Output
The space group is No. 136. The formation energy is 0.47 eV/atom. The calculation puts the final energy at -2.911 eV/atom. For the energy relative to the lowest polymorph listed for this composition, the calculation gives 308 meV per atom.

=====

A plane-wave DFT calculation with PBE-GGA was carried out for an optimized crystal structure of NdEuDy2.

Geometry as POSCAR:
```
NdEuDy2
1.0
5.969 0.000 0.000
0.000 5.969 0.000
0.000 0.000 3.858
Nd Eu Dy
1 1 2
direct
0.000 0.000 0.000
0.500 0.500 0.000
0.000 0.500 0.500
0.500 0.000 0.500
```

Output
The space group is No. 123. The formation energy is 0.15 eV/atom. The calculation puts the final energy at -5.915 eV/atom. For the energy relative to the lowest polymorph listed for this composition, the calculation gives 92 meV per atom.

=====

A plane-wave DFT calculation with PBE-GGA was carried out for an optimized crystal structure of SrTlMo2.

Geometry as POSCAR:
```
SrTlMo2
1.0
1.545 0.892 10.352
-1.545 0.892 10.352
0.000 -1.784 10.352
Sr Tl Mo
1 1 2
direct
0.000 0.000 0.000
0.500 0.500 0.500
0.243 0.243 0.243
0.757 0.757 0.757
```

Output
The space group is No. 166. The formation energy is 1.16 eV/atom. The calculation puts the final energy at -5.268 eV/atom. For the energy relative to the lowest polymorph listed for this composition, the calculation gives 776 meV per atom.

=====

A plane-wave DFT calculation with PBE-GGA was carried out for an optimized crystal structure of YAs2SeS.

Geometry as POSCAR:
```
YAs2SeS
1.0
4.839 0.000 0.000
0.000 4.839 0.000
0.000 0.000 4.820
Y As Se S
1 2 1 1
direct
0.000 0.000 0.000
0.000 0.500 0.500
0.500 0.000 0.500
0.500 0.500 0.000
0.500 0.500 0.500
```

Output
The space group is No. 123. The formation energy (no corrections) comes out at -0.10 eV/atom. The calculation puts the final energy at -4.779 eV/atom. For the energy relative to the lowest polymorph listed for this composition, the calculation gives 0 meV per atom.

=====

A plane-wave DFT calculation with PBE-GGA was carried out for an optimized crystal structure of CaCoSn3.

Geometry as POSCAR:
```
CaCoSn3
1.0
4.479 0.000 0.000
0.000 2.323 5.677
0.000 -2.323 5.677
Ca Co Sn
1 1 3
direct
0.000 0.000 0.000
0.000 0.317 0.317
0.000 0.719 0.719
0.500 0.192 0.192
0.500 0.458 0.458
```

Output
The space group is No. 38. The formation energy is -0.23 eV/atom. The calculation puts the final energy at -4.453 eV/atom.

=====

A plane-wave DFT calculation with PBE-GGA was carried out for an optimized crystal structure of LiFeAs.

Geometry as POSCAR:
```
LiFeAs
1.0
3.778 0.000 0.000
0.000 3.778 0.000
0.000 0.000 6.123
Li Fe As
2 2 2
direct
0.250 0.250 0.166
0.750 0.750 0.834
0.250 0.750 0.500
0.750 0.250 0.500
0.250 0.250 0.726
0.750 0.750 0.274
```

Output
The space group is No. 129. The formation energy is -0.45 eV/atom. The calculation puts the final energy at -5.454 eV/atom.

=====

A plane-wave DFT calculation with PBE-GGA was carried out for an optimized crystal structure of YGa2CuPd.

Geometry as POSCAR:
```
YGa2CuPd
1.0
-2.088 2.088 5.210
2.088 -2.088 5.210
2.088 2.088 -5.210
Y Ga Cu Pd
1 2 1 1
direct
0.000 0.000 0.000
0.380 0.380 0.000
0.620 0.620 0.000
0.250 0.750 0.500
0.750 0.250 0.500
```

Output
The space group is No. 119. The formation energy is -0.59 eV/atom. The calculation puts the final energy at -4.951 eV/atom.

=====

A plane-wave DFT calculation with PBE-GGA was carried out for an optimized crystal structure of FeSi2Mo.

Geometry as POSCAR:
```
FeSi2Mo
1.0
0.000 2.975 2.975
2.975 0.000 2.975
2.975 2.975 0.000
Fe Si Mo
1 2 1
direct
0.000 0.000 0.000
0.250 0.250 0.250
0.500 0.500 0.500
0.750 0.750 0.750
```

Output
The space group is No. 216. The formation energy (no corrections) comes out at 0.15 eV/atom. The calculation puts the final energy at -7.390 eV/atom.

=====

| no. | magnetic moment (μB per cell) |
| --- | --- |
| 1 | 0.0 |
| 2 | 0.0 |
| 3 | 0.0 |
| 4 | 1.6 |
| 5 | 0.0 |
| 6 | 7.5 |
| 7 | 0.0 |
| 8 | 0.0 |
| 9 | 0.0 |
| 10 | 0.7 |
| 11 | 0.0 |
| 12 | 1.6 |